SrCa2Pd2: relaxed, PBE.

Properties
ΔH_f (0 K)	-0.553	eV/atom
space-group type	No. 127
energy relative to the lowest polymorph listed for this composition	0.0000	eV per atom

Cell: 8.0561 8.0561 4.1730 Å, 90.00 90.00 90.00°
Fractional coordinates of all 10 atoms:
Sr  0.0000  0.0000  0.0000
Sr  0.5000  0.5000  0.0000
Ca  0.1555  0.3445  0.5000
Ca  0.3445  0.8445  0.5000
Ca  0.6555  0.1555  0.5000
Ca  0.8445  0.6555  0.5000
Pd  0.1272  0.6272  0.0000
Pd  0.3728  0.1272  0.0000
Pd  0.6272  0.8728  0.0000
Pd  0.8728  0.3728  0.0000